--- w ---
! RePbCl, relaxed, DFT PBE; values from VASP
! symmetry = P-6m2, No. 187
! DOS(E_F) = 0.80 states/eV/atom
&SYSTEM
  ibrav = 0, nat = 3, ntyp = 3
/
ATOMIC_SPECIES
Re 186.21 Re.upf
Pb 207.20 Pb.upf
Cl 35.45 Cl.upf
ATOMIC_POSITIONS crystal
Re 0.000 0.000 0.000
Pb 0.333 0.667 0.500
Cl 0.667 0.333 0.000
CELL_PARAMETERS angstrom
4.622 0.000 0.000
-2.311 4.003 0.000
0.000 0.000 3.195

--- x ---
! RePbCl, relaxed, DFT PBE; values from VASP
! symmetry = I4mm, No. 107
! DOS(E_F) = 0.37 states/eV/atom
&SYSTEM
  ibrav = 0, nat = 3, ntyp = 3
/
ATOMIC_SPECIES
Re 186.21 Re.upf
Pb 207.20 Pb.upf
Cl 35.45 Cl.upf
ATOMIC_POSITIONS crystal
Re 0.000 0.000 0.000
Pb 0.648 0.648 0.000
Cl 0.404 0.404 0.000
CELL_PARAMETERS angstrom
-1.543 1.543 7.229
1.543 -1.543 7.229
1.543 1.543 -7.229

--- y ---
! RePbCl, relaxed, DFT PBE; values from VASP
! symmetry = F-43m, No. 216
! DOS(E_F) = 0.56 states/eV/atom
&SYSTEM
  ibrav = 0, nat = 3, ntyp = 3
/
ATOMIC_SPECIES
Re 186.21 Re.upf
Pb 207.20 Pb.upf
Cl 35.45 Cl.upf
ATOMIC_POSITIONS crystal
Re 0.000 0.000 0.000
Pb 0.750 0.750 0.750
Cl 0.250 0.250 0.250
CELL_PARAMETERS angstrom
0.000 3.307 3.307
3.307 0.000 3.307
3.307 3.307 0.000

Name the least stable of them. y.

--- w ---
! RePbS2Cl, relaxed, DFT PBE; values from VASP
! symmetry = P4/mmm, No. 123
! DOS(E_F) = 0.92 states/eV/atom
&SYSTEM
  ibrav = 0, nat = 5, ntyp = 4
/
ATOMIC_SPECIES
Re 186.21 Re.upf
Pb 207.20 Pb.upf
S 32.06 S.upf
Cl 35.45 Cl.upf
ATOMIC_POSITIONS crystal
Re 0.000 0.000 0.000
Pb 0.500 0.500 0.500
S 0.000 0.500 0.000
S 0.500 0.000 0.000
Cl 0.000 0.000 0.500
CELL_PARAMETERS angstrom
4.647 0.000 0.000
0.000 4.647 0.000
0.000 0.000 5.059

--- x ---
! RePbS2Cl, relaxed, DFT PBE; values from VASP
! symmetry = P4/mmm, No. 123
! DOS(E_F) = 0.46 states/eV/atom
&SYSTEM
  ibrav = 0, nat = 5, ntyp = 4
/
ATOMIC_SPECIES
Re 186.21 Re.upf
Pb 207.20 Pb.upf
S 32.06 S.upf
Cl 35.45 Cl.upf
ATOMIC_POSITIONS crystal
Re 0.000 0.000 0.000
Pb 0.500 0.500 0.500
S 0.000 0.500 0.500
S 0.500 0.000 0.500
Cl 0.500 0.500 0.000
CELL_PARAMETERS angstrom
5.219 0.000 0.000
0.000 5.219 0.000
0.000 0.000 5.256

Name the least stable of them. x.

--- w ---
! Rh2PbCl, relaxed, DFT PBE; values from VASP
! symmetry = Cm, No. 8
! DOS(E_F) = 1.27 states/eV/atom
&SYSTEM
  ibrav = 0, nat = 4, ntyp = 3
/
ATOMIC_SPECIES
Rh 102.91 Rh.upf
Pb 207.20 Pb.upf
Cl 35.45 Cl.upf
ATOMIC_POSITIONS crystal
Rh 0.000 0.000 0.000
Rh 0.741 0.741 0.249
Pb 0.281 0.281 0.767
Cl 0.526 0.526 0.401
CELL_PARAMETERS angstrom
5.093 -1.607 0.000
5.093 1.607 0.000
-0.330 0.000 4.572

--- x ---
! Rh2PbCl, relaxed, DFT PBE; values from VASP
! symmetry = P4mm, No. 99
! DOS(E_F) = 0.86 states/eV/atom
&SYSTEM
  ibrav = 0, nat = 4, ntyp = 3
/
ATOMIC_SPECIES
Rh 102.91 Rh.upf
Pb 207.20 Pb.upf
Cl 35.45 Cl.upf
ATOMIC_POSITIONS crystal
Rh 0.000 0.000 0.000
Rh 0.500 0.500 0.192
Pb 0.500 0.500 0.751
Cl 0.000 0.000 0.395
CELL_PARAMETERS angstrom
3.114 0.000 0.000
0.000 3.114 0.000
0.000 0.000 8.130

--- y ---
! Rh2PbCl, relaxed, DFT PBE; values from VASP
! symmetry = Imm2, No. 44
! DOS(E_F) = 1.05 states/eV/atom
&SYSTEM
  ibrav = 0, nat = 4, ntyp = 3
/
ATOMIC_SPECIES
Rh 102.91 Rh.upf
Pb 207.20 Pb.upf
Cl 35.45 Cl.upf
ATOMIC_POSITIONS crystal
Rh 0.000 0.000 0.000
Rh 0.805 0.305 0.500
Pb 0.600 0.600 0.000
Cl 0.322 0.822 0.500
CELL_PARAMETERS angstrom
-1.523 2.032 6.092
1.523 -2.032 6.092
1.523 2.032 -6.092

--- z ---
! Rh2PbCl, relaxed, DFT PBE; values from VASP
! symmetry = Pmmm, No. 47
! DOS(E_F) = 1.02 states/eV/atom
&SYSTEM
  ibrav = 0, nat = 4, ntyp = 3
/
ATOMIC_SPECIES
Rh 102.91 Rh.upf
Pb 207.20 Pb.upf
Cl 35.45 Cl.upf
ATOMIC_POSITIONS crystal
Rh 0.000 0.000 0.000
Rh 0.500 0.000 0.500
Pb 0.000 0.500 0.500
Cl 0.500 0.500 0.000
CELL_PARAMETERS angstrom
3.082 0.000 0.000
0.000 4.457 0.000
0.000 0.000 5.309

Name the least stable of them. z.

--- w ---
! Rh2PbCl, relaxed, DFT PBE; values from VASP
! symmetry = I-42d, No. 122
! DOS(E_F) = 1.17 states/eV/atom
&SYSTEM
  ibrav = 0, nat = 8, ntyp = 3
/
ATOMIC_SPECIES
Rh 102.91 Rh.upf
Pb 207.20 Pb.upf
Cl 35.45 Cl.upf
ATOMIC_POSITIONS crystal
Rh 0.017 0.625 0.892
Rh 0.375 0.267 0.392
Rh 0.733 0.125 0.108
Rh 0.875 0.983 0.608
Pb 0.250 0.750 0.500
Pb 0.500 0.500 0.000
Cl 0.000 0.000 0.000
Cl 0.750 0.250 0.500
CELL_PARAMETERS angstrom
-2.423 2.423 7.330
2.423 -2.423 7.330
2.423 2.423 -7.330

--- x ---
! Rh2PbCl, relaxed, DFT PBE; values from VASP
! symmetry = F-43m, No. 216
! DOS(E_F) = 1.42 states/eV/atom
&SYSTEM
  ibrav = 0, nat = 4, ntyp = 3
/
ATOMIC_SPECIES
Rh 102.91 Rh.upf
Pb 207.20 Pb.upf
Cl 35.45 Cl.upf
ATOMIC_POSITIONS crystal
Rh 0.000 0.000 0.000
Rh 0.250 0.250 0.250
Pb 0.750 0.750 0.750
Cl 0.500 0.500 0.500
CELL_PARAMETERS angstrom
0.000 3.327 3.327
3.327 0.000 3.327
3.327 3.327 0.000

--- y ---
! Rh2PbCl, relaxed, DFT PBE; values from VASP
! symmetry = R3m, No. 160
! DOS(E_F) = 1.02 states/eV/atom
&SYSTEM
  ibrav = 0, nat = 4, ntyp = 3
/
ATOMIC_SPECIES
Rh 102.91 Rh.upf
Pb 207.20 Pb.upf
Cl 35.45 Cl.upf
ATOMIC_POSITIONS crystal
Rh 0.000 0.000 0.000
Rh 0.264 0.264 0.264
Pb 0.749 0.749 0.749
Cl 0.539 0.539 0.539
CELL_PARAMETERS angstrom
1.588 0.917 9.307
-1.588 0.917 9.307
0.000 -1.834 9.307

--- z ---
! Rh2PbCl, relaxed, DFT PBE; values from VASP
! symmetry = Pm, No. 6
! DOS(E_F) = 0.93 states/eV/atom
&SYSTEM
  ibrav = 0, nat = 4, ntyp = 3
/
ATOMIC_SPECIES
Rh 102.91 Rh.upf
Pb 207.20 Pb.upf
Cl 35.45 Cl.upf
ATOMIC_POSITIONS crystal
Rh 0.000 0.000 0.000
Rh 0.437 0.500 0.925
Pb 0.489 0.000 0.632
Cl 0.857 0.500 0.238
CELL_PARAMETERS angstrom
3.664 0.000 0.000
0.000 3.783 0.000
-1.003 0.000 6.446

Name the least stable of them. x.

--- w ---
! Rh2PbCl, relaxed, DFT PBE; values from VASP
! symmetry = Fm-3m, No. 225
! DOS(E_F) = 1.03 states/eV/atom
&SYSTEM
  ibrav = 0, nat = 4, ntyp = 3
/
ATOMIC_SPECIES
Rh 102.91 Rh.upf
Pb 207.20 Pb.upf
Cl 35.45 Cl.upf
ATOMIC_POSITIONS crystal
Rh 0.250 0.250 0.250
Rh 0.750 0.750 0.750
Pb 0.000 0.000 0.000
Cl 0.500 0.500 0.500
CELL_PARAMETERS angstrom
0.000 3.293 3.293
3.293 0.000 3.293
3.293 3.293 0.000

--- x ---
! Rh2PbCl, relaxed, DFT PBE; values from VASP
! symmetry = I-4m2, No. 119
! DOS(E_F) = 1.01 states/eV/atom
&SYSTEM
  ibrav = 0, nat = 4, ntyp = 3
/
ATOMIC_SPECIES
Rh 102.91 Rh.upf
Pb 207.20 Pb.upf
Cl 35.45 Cl.upf
ATOMIC_POSITIONS crystal
Rh 0.000 0.000 0.000
Rh 0.750 0.250 0.500
Pb 0.500 0.500 0.000
Cl 0.250 0.750 0.500
CELL_PARAMETERS angstrom
-1.910 1.910 4.989
1.910 -1.910 4.989
1.910 1.910 -4.989

--- y ---
! Rh2PbCl, relaxed, DFT PBE; values from VASP
! symmetry = R-3m, No. 166
! DOS(E_F) = 1.40 states/eV/atom
&SYSTEM
  ibrav = 0, nat = 4, ntyp = 3
/
ATOMIC_SPECIES
Rh 102.91 Rh.upf
Pb 207.20 Pb.upf
Cl 35.45 Cl.upf
ATOMIC_POSITIONS crystal
Rh 0.249 0.249 0.249
Rh 0.751 0.751 0.751
Pb 0.000 0.000 0.000
Cl 0.500 0.500 0.500
CELL_PARAMETERS angstrom
1.651 0.953 7.803
-1.651 0.953 7.803
0.000 -1.907 7.803

--- z ---
! Rh2PbCl, relaxed, DFT PBE; values from VASP
! symmetry = Pmm2, No. 25
! DOS(E_F) = 0.82 states/eV/atom
&SYSTEM
  ibrav = 0, nat = 4, ntyp = 3
/
ATOMIC_SPECIES
Rh 102.91 Rh.upf
Pb 207.20 Pb.upf
Cl 35.45 Cl.upf
ATOMIC_POSITIONS crystal
Rh 0.000 0.000 0.000
Rh 0.500 0.500 0.291
Pb 0.500 0.500 0.786
Cl 0.000 0.000 0.387
CELL_PARAMETERS angstrom
3.293 0.000 0.000
0.000 3.721 0.000
0.000 0.000 5.989

Name the least stable of them. x.

--- w ---
! Rh2PbCl, relaxed, DFT PBE; values from VASP
! symmetry = P4/mmm, No. 123
! DOS(E_F) = 1.50 states/eV/atom
&SYSTEM
  ibrav = 0, nat = 4, ntyp = 3
/
ATOMIC_SPECIES
Rh 102.91 Rh.upf
Pb 207.20 Pb.upf
Cl 35.45 Cl.upf
ATOMIC_POSITIONS crystal
Rh 0.000 0.000 0.226
Rh 0.000 0.000 0.774
Pb 0.500 0.500 0.000
Cl 0.500 0.500 0.500
CELL_PARAMETERS angstrom
3.308 0.000 0.000
0.000 3.308 0.000
0.000 0.000 6.710

--- x ---
! Rh2PbCl, relaxed, DFT PBE; values from VASP
! symmetry = C2/m, No. 12
! DOS(E_F) = 0.88 states/eV/atom
&SYSTEM
  ibrav = 0, nat = 4, ntyp = 3
/
ATOMIC_SPECIES
Rh 102.91 Rh.upf
Pb 207.20 Pb.upf
Cl 35.45 Cl.upf
ATOMIC_POSITIONS crystal
Rh 0.244 0.244 0.251
Rh 0.756 0.756 0.749
Pb 0.000 0.000 0.500
Cl 0.500 0.500 0.000
CELL_PARAMETERS angstrom
4.879 -1.556 0.000
4.879 1.556 0.000
-2.348 0.000 4.774

Name the least stable of them. w.

--- w ---
! RhPbCl2, relaxed, DFT PBE; values from VASP
! symmetry = Cmmm, No. 65
! DOS(E_F) = 0.42 states/eV/atom
&SYSTEM
  ibrav = 0, nat = 4, ntyp = 3
/
ATOMIC_SPECIES
Rh 102.91 Rh.upf
Pb 207.20 Pb.upf
Cl 35.45 Cl.upf
ATOMIC_POSITIONS crystal
Rh 0.000 0.000 0.000
Pb 0.000 0.000 0.500
Cl 0.500 0.500 0.188
Cl 0.500 0.500 0.812
CELL_PARAMETERS angstrom
1.701 -3.107 0.000
1.701 3.107 0.000
0.000 0.000 8.807

--- x ---
! RhPbCl2, relaxed, DFT PBE; values from VASP
! symmetry = I-4m2, No. 119
! DOS(E_F) = 0.72 states/eV/atom
&SYSTEM
  ibrav = 0, nat = 4, ntyp = 3
/
ATOMIC_SPECIES
Rh 102.91 Rh.upf
Pb 207.20 Pb.upf
Cl 35.45 Cl.upf
ATOMIC_POSITIONS crystal
Rh 0.000 0.000 0.000
Pb 0.750 0.250 0.500
Cl 0.250 0.750 0.500
Cl 0.500 0.500 0.000
CELL_PARAMETERS angstrom
-2.052 2.052 5.216
2.052 -2.052 5.216
2.052 2.052 -5.216

Name the least stable of them. x.

--- w ---
! RhPbCl2, relaxed, DFT PBE; values from VASP
! symmetry = Cm, No. 8
! DOS(E_F) = 0.28 states/eV/atom
&SYSTEM
  ibrav = 0, nat = 4, ntyp = 3
/
ATOMIC_SPECIES
Rh 102.91 Rh.upf
Pb 207.20 Pb.upf
Cl 35.45 Cl.upf
ATOMIC_POSITIONS crystal
Rh 0.000 0.000 0.000
Pb 0.348 0.348 0.763
Cl 0.613 0.613 0.807
Cl 0.866 0.866 0.302
CELL_PARAMETERS angstrom
5.950 -1.758 0.000
5.950 1.758 0.000
-0.269 0.000 5.455

--- x ---
! RhPbCl2, relaxed, DFT PBE; values from VASP
! symmetry = Fm-3m, No. 225
! DOS(E_F) = 1.58 states/eV/atom
&SYSTEM
  ibrav = 0, nat = 4, ntyp = 3
/
ATOMIC_SPECIES
Rh 102.91 Rh.upf
Pb 207.20 Pb.upf
Cl 35.45 Cl.upf
ATOMIC_POSITIONS crystal
Rh 0.000 0.000 0.000
Pb 0.500 0.500 0.500
Cl 0.250 0.250 0.250
Cl 0.750 0.750 0.750
CELL_PARAMETERS angstrom
0.000 3.496 3.496
3.496 0.000 3.496
3.496 3.496 0.000

--- y ---
! RhPbCl2, relaxed, DFT PBE; values from VASP
! symmetry = R3m, No. 160
! DOS(E_F) = 0.56 states/eV/atom
&SYSTEM
  ibrav = 0, nat = 4, ntyp = 3
/
ATOMIC_SPECIES
Rh 102.91 Rh.upf
Pb 207.20 Pb.upf
Cl 35.45 Cl.upf
ATOMIC_POSITIONS crystal
Rh 0.000 0.000 0.000
Pb 0.760 0.760 0.760
Cl 0.318 0.318 0.318
Cl 0.510 0.510 0.510
CELL_PARAMETERS angstrom
2.019 1.166 7.188
-2.019 1.166 7.188
0.000 -2.332 7.188

--- z ---
! RhPbCl2, relaxed, DFT PBE; values from VASP
! symmetry = P2/m, No. 10
! DOS(E_F) = 0.30 states/eV/atom
&SYSTEM
  ibrav = 0, nat = 4, ntyp = 3
/
ATOMIC_SPECIES
Rh 102.91 Rh.upf
Pb 207.20 Pb.upf
Cl 35.45 Cl.upf
ATOMIC_POSITIONS crystal
Rh 0.000 0.000 0.000
Pb 0.500 0.000 0.500
Cl 0.170 0.500 0.830
Cl 0.830 0.500 0.170
CELL_PARAMETERS angstrom
5.586 0.000 0.000
0.000 3.461 0.000
-2.509 0.000 5.003

Name the least stable of them. x.